## P
A plane-wave DFT calculation with PBE-GGA was carried out for a relaxed NiBPtAu crystal.

Geometry as extended XYZ:
```
4
Lattice="0.000 2.984 2.984 2.984 0.000 2.984 2.984 2.984 0.000" Properties=species:S:1:pos:R:3 pbc="T T T"
Ni 0.000 0.000 0.000
B 4.476 4.476 4.476
Pt 2.984 2.984 2.984
Au 1.492 1.492 1.492
```

- Total magnetic moment: 0.00 μB per formula unit
- Crystal system: cubic

## Q
A plane-wave DFT calculation with PBE-GGA was carried out for a relaxed NiBPtAu crystal.

Geometry as extended XYZ:
```
4
Lattice="0.000 2.949 2.949 2.949 0.000 2.949 2.949 2.949 0.000" Properties=species:S:1:pos:R:3 pbc="T T T"
Ni 0.000 0.000 0.000
B 2.949 2.949 2.949
Pt 1.474 1.474 1.474
Au 4.423 4.423 4.423
```

- Total magnetic moment: 0.01 μB per formula unit
- Crystal system: cubic

Q comes first in stability; the runner-up is 127 meV/atom higher.

## P
A plane-wave DFT calculation with PBE-GGA was carried out for a relaxed SiNiBAu crystal.

Geometry as extended XYZ:
```
4
Lattice="0.000 2.933 2.933 2.933 0.000 2.933 2.933 2.933 0.000" Properties=species:S:1:pos:R:3 pbc="T T T"
Si 0.000 0.000 0.000
Ni 4.399 4.399 4.399
B 1.466 1.466 1.466
Au 2.933 2.933 2.933
```

- Total magnetic moment: 0.02 μB per formula unit
- Crystal system: cubic

## Q
A plane-wave DFT calculation with PBE-GGA was carried out for a relaxed SiNiBAu crystal.

Geometry as extended XYZ:
```
4
Lattice="0.000 2.908 2.908 2.908 0.000 2.908 2.908 2.908 0.000" Properties=species:S:1:pos:R:3 pbc="T T T"
Si 0.000 0.000 0.000
Ni 4.363 4.363 4.363
B 2.908 2.908 2.908
Au 1.454 1.454 1.454
```

- Total magnetic moment: 0.00 μB per formula unit
- Crystal system: cubic

Q comes first in stability; the runner-up is 97 meV/atom higher.

## P
A plane-wave DFT calculation with PBE-GGA was carried out for a relaxed TaNiBAu crystal.

Geometry as extended XYZ:
```
4
Lattice="0.000 2.970 2.970 2.970 0.000 2.970 2.970 2.970 0.000" Properties=species:S:1:pos:R:3 pbc="T T T"
Ta 0.000 0.000 0.000
Ni 4.454 4.454 4.454
B 1.485 1.485 1.485
Au 2.970 2.970 2.970
```

- Total magnetic moment: 0.00 μB per formula unit
- Crystal system: cubic

## Q
A plane-wave DFT calculation with PBE-GGA was carried out for a relaxed TaNiBAu crystal.

Geometry as extended XYZ:
```
4
Lattice="0.000 3.008 3.008 3.008 0.000 3.008 3.008 3.008 0.000" Properties=species:S:1:pos:R:3 pbc="T T T"
Ta 0.000 0.000 0.000
Ni 3.008 3.008 3.008
B 1.504 1.504 1.504
Au 4.511 4.511 4.511
```

- Total magnetic moment: 0.00 μB per formula unit
- Crystal system: cubic

P comes first in stability; the runner-up is 126 meV/atom higher.

## P
A plane-wave DFT calculation with PBE-GGA was carried out for a relaxed B2Au2O5 crystal.

Geometry as extended XYZ:
```
9
Lattice="3.747 0.000 0.000 0.000 3.747 0.000 0.000 0.000 8.071" Properties=species:S:1:pos:R:3 pbc="T T T"
B 0.000 0.000 0.000
B 0.000 0.000 4.035
Au 1.874 1.874 1.835
Au 1.874 1.874 6.235
O 0.000 1.874 1.155
O 0.000 1.874 6.915
O 1.874 0.000 1.155
O 1.874 0.000 6.915
O 1.874 1.874 4.035
```

- Crystal system: tetragonal

## Q
A plane-wave DFT calculation with PBE-GGA was carried out for a relaxed B2Au2O5 crystal.

Geometry as extended XYZ:
```
9
Lattice="3.411 0.000 0.000 0.000 3.411 0.000 0.000 0.000 7.141" Properties=species:S:1:pos:R:3 pbc="T T T"
B 0.000 0.000 1.444
B 0.000 0.000 5.696
Au 1.706 1.706 0.000
Au 1.706 1.706 3.570
O 0.000 0.000 0.000
O 0.000 1.706 1.945
O 0.000 1.706 5.196
O 1.706 0.000 1.945
O 1.706 0.000 5.196
```

- Crystal system: tetragonal

Q comes first in stability; the runner-up is 1161 meV/atom higher.